[1]
# Ti5Al2C3, relaxed, DFT PBEsol
data_Ti5Al2C3
_cell_length_a 3.0481
_cell_length_b 3.0481
_cell_length_c 48.1837
_cell_angle_alpha 90.00
_cell_angle_beta 90.00
_cell_angle_gamma 120.00
_symmetry_space_group_name_H-M 'R -3 m'
_symmetry_Int_Tables_number 166
_symmetry_space_group_name_Hall '-R 3 2"'
loop_
_atom_site_label
_atom_site_type_symbol
_atom_site_fract_x
_atom_site_fract_y
_atom_site_fract_z
_atom_site_occupancy
Ti1 Ti 0.0000 0.0000 0.0000 1
Ti2 Ti 0.0000 0.0000 0.1903 1
Ti3 Ti 0.0000 0.0000 0.2845 1
Al1 Al 0.0000 0.0000 0.0961 1
C1 C 0.0000 0.0000 0.3599 1
C2 C 0.0000 0.0000 0.5000 1
# - E_tot (eV for the cell shown) = -259.77
# - Fermi-level density of states (states/eV per cell) = 10.16
# - calculated formation energy (eV per atom) = -0.79
# - crystal system = trigonal
# - V (Å³/atom) = 12.92
# - spin magnetization (μB per formula unit) = 0.00

=====

[2]
# Ti3AlC2, relaxed, DFT PBEsol
data_Ti3AlC2
_cell_length_a 3.0532
_cell_length_b 3.0532
_cell_length_c 18.5010
_cell_angle_alpha 90.00
_cell_angle_beta 90.00
_cell_angle_gamma 120.00
_symmetry_space_group_name_H-M 'P 63/m m c'
_symmetry_Int_Tables_number 194
_symmetry_space_group_name_Hall '-P 6c 2c'
loop_
_atom_site_label
_atom_site_type_symbol
_atom_site_fract_x
_atom_site_fract_y
_atom_site_fract_z
_atom_site_occupancy
Ti1 Ti 0.0000 0.0000 0.0000 1
Ti2 Ti 0.3333 0.6667 0.1270 1
Al1 Al 0.0000 0.0000 0.2500 1
C1 C 0.3333 0.6667 0.5692 1
# - E_tot (eV for the cell shown) = -106.50
# - Fermi-level density of states (states/eV per cell) = 3.55
# - calculated formation energy (eV per atom) = -0.82
# - crystal system = hexagonal
# - V (Å³/atom) = 12.45
# - spin magnetization (μB per formula unit) = 0.00

=====

[3]
# Ti2AlC, relaxed, DFT PBEsol
data_Ti2AlC
_cell_length_a 3.0393
_cell_length_b 3.0393
_cell_length_c 13.6312
_cell_angle_alpha 90.00
_cell_angle_beta 90.00
_cell_angle_gamma 120.00
_symmetry_space_group_name_H-M 'P 63/m m c'
_symmetry_Int_Tables_number 194
_symmetry_space_group_name_Hall '-P 6c 2c'
loop_
_atom_site_label
_atom_site_type_symbol
_atom_site_fract_x
_atom_site_fract_y
_atom_site_fract_z
_atom_site_occupancy
Ti1 Ti 0.3333 0.6667 0.0836 1
Al1 Al 0.3333 0.6667 0.7500 1
C1 C 0.0000 0.0000 0.0000 1
# - E_tot (eV for the cell shown) = -66.70
# - Fermi-level density of states (states/eV per cell) = 2.73
# - calculated formation energy (eV per atom) = -0.74
# - crystal system = hexagonal
# - V (Å³/atom) = 13.63
# - spin magnetization (μB per formula unit) = 0.00

=====

[4]
# Ti3AlC, relaxed, DFT PBEsol
data_Ti3AlC
_cell_length_a 4.1428
_cell_length_b 4.1428
_cell_length_c 4.1428
_cell_angle_alpha 90.00
_cell_angle_beta 90.00
_cell_angle_gamma 90.00
_symmetry_space_group_name_H-M 'P m -3 m'
_symmetry_Int_Tables_number 221
_symmetry_space_group_name_Hall '-P 4 2 3'
loop_
_atom_site_label
_atom_site_type_symbol
_atom_site_fract_x
_atom_site_fract_y
_atom_site_fract_z
_atom_site_occupancy
Ti1 Ti 0.0000 0.0000 0.5000 1
Al1 Al 0.5000 0.5000 0.5000 1
C1 C 0.0000 0.0000 0.0000 1
# - E_tot (eV for the cell shown) = -41.81
# - Fermi-level density of states (states/eV per cell) = 2.68
# - calculated formation energy (eV per atom) = -0.62
# - crystal system = cubic
# - V (Å³/atom) = 14.22
# - spin magnetization (μB per formula unit) = 0.00

=====

[5]
# TmAl3C3, relaxed, DFT PBEsol
data_TmAl3C3
_cell_length_a 3.3950
_cell_length_b 3.3950
_cell_length_c 17.0609
_cell_angle_alpha 90.00
_cell_angle_beta 90.00
_cell_angle_gamma 120.00
_symmetry_space_group_name_H-M 'P 63/m m c'
_symmetry_Int_Tables_number 194
_symmetry_space_group_name_Hall '-P 6c 2c'
loop_
_atom_site_label
_atom_site_type_symbol
_atom_site_fract_x
_atom_site_fract_y
_atom_site_fract_z
_atom_site_occupancy
Tm1 Tm 0.0000 0.0000 0.0000 1
Al1 Al 0.3333 0.6667 0.1322 1
Al2 Al 0.3333 0.6667 0.7500 1
C1 C 0.3333 0.6667 0.2500 1
C2 C 0.3333 0.6667 0.5906 1
# - E_tot (eV for the cell shown) = -97.23
# - Fermi-level density of states (states/eV per cell) = 0.18
# - calculated formation energy (eV per atom) = -0.36
# - crystal system = hexagonal
# - V (Å³/atom) = 12.16
# - spin magnetization (μB per formula unit) = 0.00

=====

[6]
# UAl3C3, relaxed, DFT PBEsol
data_UAl3C3
_cell_length_a 3.3634
_cell_length_b 3.3634
_cell_length_c 17.2755
_cell_angle_alpha 90.00
_cell_angle_beta 90.00
_cell_angle_gamma 120.00
_symmetry_space_group_name_H-M 'P 63/m m c'
_symmetry_Int_Tables_number 194
_symmetry_space_group_name_Hall '-P 6c 2c'
loop_
_atom_site_label
_atom_site_type_symbol
_atom_site_fract_x
_atom_site_fract_y
_atom_site_fract_z
_atom_site_occupancy
U1 U 0.0000 0.0000 0.0000 1
Al1 Al 0.3333 0.6667 0.1332 1
Al2 Al 0.3333 0.6667 0.7500 1
C1 C 0.3333 0.6667 0.2500 1
C2 C 0.3333 0.6667 0.5933 1
# - E_tot (eV for the cell shown) = -109.29
# - Fermi-level density of states (states/eV per cell) = 8.54
# - calculated formation energy (eV per atom) = -0.18
# - crystal system = hexagonal
# - V (Å³/atom) = 12.09
# - spin magnetization (μB per formula unit) = 1.08

=====

[7]
# Al3WC, relaxed, DFT PBEsol
data_Al3WC
_cell_length_a 4.0395
_cell_length_b 4.0395
_cell_length_c 4.0395
_cell_angle_alpha 90.00
_cell_angle_beta 90.00
_cell_angle_gamma 90.00
_symmetry_space_group_name_H-M 'P m -3 m'
_symmetry_Int_Tables_number 221
_symmetry_space_group_name_Hall '-P 4 2 3'
loop_
_atom_site_label
_atom_site_type_symbol
_atom_site_fract_x
_atom_site_fract_y
_atom_site_fract_z
_atom_site_occupancy
Al1 Al 0.0000 0.0000 0.5000 1
W1 W 0.5000 0.5000 0.5000 1
C1 C 0.0000 0.0000 0.0000 1
# - E_tot (eV for the cell shown) = -32.64
# - Fermi-level density of states (states/eV per cell) = 5.52
# - calculated formation energy (eV per atom) = 0.62
# - crystal system = cubic
# - V (Å³/atom) = 13.18
# - spin magnetization (μB per formula unit) = 0.01

=====

[8]
# Y3AlC, relaxed, DFT PBEsol
data_Y3AlC
_cell_length_a 4.8373
_cell_length_b 4.8373
_cell_length_c 4.8373
_cell_angle_alpha 90.00
_cell_angle_beta 90.00
_cell_angle_gamma 90.00
_symmetry_space_group_name_H-M 'P m -3 m'
_symmetry_Int_Tables_number 221
_symmetry_space_group_name_Hall '-P 4 2 3'
loop_
_atom_site_label
_atom_site_type_symbol
_atom_site_fract_x
_atom_site_fract_y
_atom_site_fract_z
_atom_site_occupancy
Y1 Y 0.0000 0.0000 0.5000 1
Al1 Al 0.5000 0.5000 0.5000 1
C1 C 0.0000 0.0000 0.0000 1
# - E_tot (eV for the cell shown) = -36.45
# - Fermi-level density of states (states/eV per cell) = 2.37
# - calculated formation energy (eV per atom) = -0.45
# - crystal system = cubic
# - V (Å³/atom) = 22.64
# - spin magnetization (μB per formula unit) = 0.00

=====

[9]
# Y3AlC3, relaxed, DFT PBEsol
data_Y3AlC3
_cell_length_a 6.9619
_cell_length_b 3.5293
_cell_length_c 9.9231
_cell_angle_alpha 90.00
_cell_angle_beta 90.00
_cell_angle_gamma 90.00
_symmetry_space_group_name_H-M 'P m m a'
_symmetry_Int_Tables_number 51
loop_
_symmetry_equiv_pos_as_xyz
'x,y,z'
'-x,-y,-z'
'-x+1/2,-y,z'
'x+1/2,y,-z'
'x+1/2,-y,-z'
'-x+1/2,y,z'
'-x,y,-z'
'x,-y,z'
loop_
_atom_site_label
_atom_site_type_symbol
_atom_site_fract_x
_atom_site_fract_y
_atom_site_fract_z
_atom_site_occupancy
Y1 Y 0.0088 0.0000 0.1996 1
Y2 Y 0.2500 0.5000 0.4579 1
Al1 Al 0.2500 0.5000 0.0060 1
C1 C 0.0095 0.0000 0.5665 1
C2 C 0.2500 0.5000 0.2088 1
# - E_tot (eV for the cell shown) = -113.00
# - Fermi-level density of states (states/eV per cell) = 4.67
# - calculated formation energy (eV per atom) = -0.43
# - crystal system = orthorhombic
# - V (Å³/atom) = 17.42
# - spin magnetization (μB per formula unit) = 0.00

=====

[10]
# Y5Al3C4, relaxed, DFT PBEsol
data_Y5Al3C4
_cell_length_a 10.7908
_cell_length_b 10.7908
_cell_length_c 3.4914
_cell_angle_alpha 90.00
_cell_angle_beta 90.00
_cell_angle_gamma 90.00
_symmetry_space_group_name_H-M 'P 4/m b m'
_symmetry_Int_Tables_number 127
_symmetry_space_group_name_Hall '-P 4 2ab'
loop_
_atom_site_label
_atom_site_type_symbol
_atom_site_fract_x
_atom_site_fract_y
_atom_site_fract_z
_atom_site_occupancy
Y1 Y 0.0000 0.5000 0.0000 1
Y2 Y 0.0502 0.2293 0.5000 1
Al1 Al 0.0000 0.0000 0.0000 1
Al2 Al 0.2038 0.7038 0.0000 1
C1 C 0.1319 0.6319 0.5000 1
C2 C 0.1615 0.3385 0.0000 1
# - E_tot (eV for the cell shown) = -180.64
# - Fermi-level density of states (states/eV per cell) = 9.09
# - calculated formation energy (eV per atom) = -0.45
# - crystal system = tetragonal
# - V (Å³/atom) = 16.94
# - spin magnetization (μB per formula unit) = 0.00

=====

[11]
# Al2ZnC, relaxed, DFT PBEsol
data_Al2ZnC
_cell_length_a 5.9340
_cell_length_b 5.9340
_cell_length_c 5.9340
_cell_angle_alpha 90.00
_cell_angle_beta 90.00
_cell_angle_gamma 90.00
_symmetry_space_group_name_H-M 'F m -3 m'
_symmetry_Int_Tables_number 225
_symmetry_space_group_name_Hall '-F 4 2 3'
loop_
_atom_site_label
_atom_site_type_symbol
_atom_site_fract_x
_atom_site_fract_y
_atom_site_fract_z
_atom_site_occupancy
Al1 Al 0.2500 0.2500 0.2500 1
Zn1 Zn 0.0000 0.0000 0.0000 1
C1 C 0.0000 0.0000 0.5000 1
# - E_tot (eV for the cell shown) = -61.32
# - Fermi-level density of states (states/eV per cell) = 7.32
# - calculated formation energy (eV per atom) = 1.02
# - crystal system = cubic
# - V (Å³/atom) = 13.06
# - spin magnetization (μB per formula unit) = 0.00

=====

[12]
# Zr3Al3C5, relaxed, DFT PBEsol
data_Zr3Al3C5
_cell_length_a 3.3351
_cell_length_b 3.3351
_cell_length_c 27.4702
_cell_angle_alpha 90.00
_cell_angle_beta 90.00
_cell_angle_gamma 120.00
_symmetry_space_group_name_H-M 'P 63/m m c'
_symmetry_Int_Tables_number 194
_symmetry_space_group_name_Hall '-P 6c 2c'
loop_
_atom_site_label
_atom_site_type_symbol
_atom_site_fract_x
_atom_site_fract_y
_atom_site_fract_z
_atom_site_occupancy
Zr1 Zr 0.0000 0.0000 0.0000 1
Zr2 Zr 0.3333 0.6667 0.0953 1
Al1 Al 0.0000 0.0000 0.2500 1
Al2 Al 0.3333 0.6667 0.6768 1
C1 C 0.0000 0.0000 0.1515 1
C2 C 0.3333 0.6667 0.5498 1
C3 C 0.3333 0.6667 0.7500 1
# - E_tot (eV for the cell shown) = -188.61
# - Fermi-level density of states (states/eV per cell) = 2.17
# - calculated formation energy (eV per atom) = -0.59
# - crystal system = hexagonal
# - V (Å³/atom) = 12.03
# - spin magnetization (μB per formula unit) = 0.00